(1)
VASP calculation (GGA-PBE) on a relaxed BaMn4Co crystal.

Values from the calculation:
energy = -40.6 eV/cell
total magnetization = 16.8 μB/cell

POSCAR file:
```
BaMn4Co
1.0
0.000 3.838 3.838
3.838 0.000 3.838
3.838 3.838 0.000
Ba Mn Co
1 4 1
direct
0.000 0.000 0.000 Ba
0.378 0.378 0.378 Mn
0.378 0.378 0.866 Mn
0.378 0.866 0.378 Mn
0.866 0.378 0.378 Mn
0.750 0.750 0.750 Co
```


(2)
VASP calculation (GGA-PBE) on a relaxed BaMnCo crystal.

Values from the calculation:
energy = -33.2 eV/cell
total magnetization = 0.4 μB/cell
relative energy among the computed polymorphs = 235.6 meV per atom

POSCAR file:
```
BaMnCo
1.0
3.791 0.000 0.000
-1.867 5.467 0.000
-1.814 -0.830 6.417
Ba Mn Co
2 2 2
direct
0.000 0.000 0.000 Ba
0.451 0.566 0.310 Ba
0.297 0.990 0.589 Mn
0.875 0.182 0.551 Mn
0.172 0.618 0.716 Co
0.582 0.400 0.754 Co
```


(3)
VASP calculation (GGA-PBE) on a relaxed BaMnCo crystal.

Values from the calculation:
energy = -34.2 eV/cell
total magnetization = 0.0 μB/cell
relative energy among the computed polymorphs = 68.5 meV per atom

POSCAR file:
```
BaMnCo
1.0
3.128 -2.626 0.000
3.128 2.626 0.000
-0.185 0.000 9.685
Ba Mn Co
2 2 2
direct
0.246 0.246 0.282 Ba
0.754 0.754 0.718 Ba
0.217 0.783 0.000 Mn
0.783 0.217 0.000 Mn
0.287 0.287 0.904 Co
0.713 0.713 0.096 Co
```


(4)
VASP calculation (GGA-PBE) on a relaxed BaMn2Co crystal.

Values from the calculation:
energy = -24.8 eV/cell
total magnetization = 9.1 μB/cell
relative energy among the computed polymorphs = 270.8 meV per atom

POSCAR file:
```
BaMn2Co
1.0
-1.638 2.072 6.426
1.638 -2.072 6.426
1.638 2.072 -6.426
Ba Mn Co
1 2 1
direct
0.000 0.000 0.000 Ba
0.347 0.347 0.000 Mn
0.720 0.220 0.500 Mn
0.214 0.714 0.500 Co
```


(5)
VASP calculation (GGA-PBE) on a relaxed BaMnCo crystal.

Values from the calculation:
energy = -34.4 eV/cell
total magnetization = 1.3 μB/cell
relative energy among the computed polymorphs = 30.0 meV per atom

POSCAR file:
```
BaMnCo
1.0
3.559 -2.056 0.000
3.559 2.056 0.000
-2.342 0.000 10.513
Ba Mn Co
2 2 2
direct
0.000 0.000 0.000 Ba
0.535 0.535 0.616 Ba
0.101 0.101 0.309 Mn
0.798 0.798 0.402 Mn
0.427 0.427 0.288 Co
0.730 0.730 0.193 Co
```


(6)
VASP calculation (GGA-PBE) on a relaxed BaMnCo3 crystal.

Values from the calculation:
energy = -28.1 eV/cell
total magnetization = 3.0 μB/cell
relative energy among the computed polymorphs = 0.0 meV per atom

POSCAR file:
```
BaMnCo3
1.0
4.463 0.000 0.000
0.000 4.463 0.000
0.000 0.000 4.463
Ba Mn Co
1 1 3
direct
0.000 0.000 0.000 Ba
0.500 0.500 0.500 Mn
0.000 0.500 0.500 Co
0.500 0.000 0.500 Co
0.500 0.500 0.000 Co
```


(7)
VASP calculation (GGA-PBE) on a relaxed BaMnCo crystal.

Values from the calculation:
energy = -34.3 eV/cell
total magnetization = 8.4 μB/cell
relative energy among the computed polymorphs = 45.7 meV per atom

POSCAR file:
```
BaMnCo
1.0
-2.032 2.032 9.436
2.032 -2.032 9.436
2.032 2.032 -9.436
Ba Mn Co
2 2 2
direct
0.151 0.151 0.000 Ba
0.849 0.849 0.000 Ba
0.000 0.500 0.500 Mn
0.500 0.000 0.500 Mn
0.429 0.429 0.000 Co
0.571 0.571 0.000 Co
```


(8)
VASP calculation (GGA-PBE) on a relaxed BaMn2Co crystal.

Values from the calculation:
energy = -25.6 eV/cell
total magnetization = 7.3 μB/cell
relative energy among the computed polymorphs = 57.9 meV per atom

POSCAR file:
```
BaMn2Co
1.0
2.088 1.205 5.929
-2.088 1.205 5.929
0.000 -2.411 5.929
Ba Mn Co
1 2 1
direct
0.000 0.000 0.000 Ba
0.195 0.195 0.195 Mn
0.805 0.805 0.805 Mn
0.500 0.500 0.500 Co
```


(9)
VASP calculation (GGA-PBE) on a relaxed BaMn2Co crystal.

Values from the calculation:
energy = -25.8 eV/cell
total magnetization = 1.4 μB/cell
relative energy among the computed polymorphs = 0.0 meV per atom

POSCAR file:
```
BaMn2Co
1.0
3.593 -2.076 0.000
3.593 2.076 0.000
-2.407 0.000 5.920
Ba Mn Co
1 2 1
direct
0.000 0.000 0.000 Ba
0.189 0.189 0.567 Mn
0.490 0.490 0.471 Mn
0.808 0.808 0.423 Co
```


(10)
VASP calculation (GGA-PBE) on a relaxed BaMnCo crystal.

Values from the calculation:
energy = -34.4 eV/cell
total magnetization = 8.1 μB/cell
relative energy among the computed polymorphs = 41.1 meV per atom

POSCAR file:
```
BaMnCo
1.0
4.027 0.000 0.000
0.000 4.027 0.000
0.000 0.000 9.380
Ba Mn Co
2 2 2
direct
0.250 0.250 0.200 Ba
0.750 0.750 0.800 Ba
0.250 0.750 0.500 Mn
0.750 0.250 0.500 Mn
0.250 0.250 0.644 Co
0.750 0.750 0.356 Co
```


(11)
VASP calculation (GGA-PBE) on a relaxed Ba4MnCo crystal.

Values from the calculation:
energy = -16.7 eV/cell
total magnetization = 2.9 μB/cell

POSCAR file:
```
Ba4MnCo
1.0
0.000 5.076 5.076
5.076 0.000 5.076
5.076 5.076 0.000
Ba Mn Co
4 1 1
direct
0.125 0.125 0.125 Ba
0.125 0.125 0.626 Ba
0.125 0.626 0.125 Ba
0.626 0.125 0.125 Ba
0.500 0.500 0.500 Mn
0.750 0.750 0.750 Co
```


(12)
VASP calculation (GGA-PBE) on a relaxed BaMn2Co crystal.

Values from the calculation:
energy = -23.5 eV/cell
total magnetization = 8.4 μB/cell
relative energy among the computed polymorphs = 592.3 meV per atom

POSCAR file:
```
BaMn2Co
1.0
4.055 0.000 0.000
0.000 4.149 0.000
0.000 0.000 4.657
Ba Mn Co
1 2 1
direct
0.000 0.000 0.000 Ba
0.000 0.500 0.500 Mn
0.500 0.000 0.500 Mn
0.500 0.500 0.000 Co
```


Among the records above, which one has the highest energy?
Ba4MnCo